DFT (GGA+U) results for a geometry-optimized Ac2MoH2O6 structure.

Cell lengths 5.3365, 5.3365, 15.5565 Å; angles 90.00, 90.00, 120.00 degrees
Space group R-3m (No. 166, hexagonal axes)
Unique sites:
1 Ac 0.0000 0.0000 0.2334
2 Mo 0.0000 0.0000 0.0000
3 H 0.0000 0.0000 0.4197
4 O 0.0137 0.5069 0.2502

- Total energy: -6.721 eV per atom